1.
Y4ZnPt | PBE-GGA | optimized geometry

It has space group F-43m (No. 216), with a = 13.557 Å, b = 13.557 Å, c = 13.557 Å, α = 90.00°, β = 90.00° and γ = 90.00°. The distinct sites, in fractional coordinates, are Y at (0.000, 0.000, 0.186), Y at (0.059, 0.250, 0.250), Y at (0.108, 0.108, 0.608), Zn at (0.168, 0.168, 0.832) and Pt at (0.105, 0.105, 0.395).

The value obtained for the final energy is -6.1101 eV/atom. As for the crystal system: cubic. Its formation enthalpy at 0 K is -0.582 eV per atom.


2.
CsVTe3 | PBE-GGA | optimized geometry

It has space group C2/c (No. 15), with a = 8.059 Å, b = 16.664 Å, c = 6.452 Å, α = 90.00°, β = 98.16° and γ = 90.00°. The distinct sites, in fractional coordinates, are Cs at (0.000, 0.181, 0.250), V at (0.000, 0.460, 0.750), Te at (0.000, 0.310, 0.750) and Te at (0.246, 0.481, 0.083).

The value obtained for the final energy is -4.3744 eV/atom. The uncorrected formation energy is -0.495 eV per atom. As for the crystal system: monoclinic.


3.
SiAgAs2 | PBE-GGA | optimized geometry

It has space group Cm (No. 8), with a = 6.346 Å, b = 3.635 Å, c = 6.955 Å, α = 90.00°, β = 107.30° and γ = 90.00°. The distinct sites, in fractional coordinates, are Si at (0.000, 0.000, 0.000), Ag at (0.249, 0.000, 0.746), As at (0.238, 0.500, 0.215) and As at (0.492, 0.000, 0.475).

The value obtained for the final energy is -4.1359 eV/atom. The uncorrected formation energy is 0.257 eV per atom. As for the crystal system: monoclinic.


4.
Tb2TiTl3Se6 | PBE-GGA | optimized geometry

It has space group C2/m (No. 12), with a = 7.062 Å, b = 12.211 Å, c = 8.124 Å, α = 90.00°, β = 106.96° and γ = 90.00°. The distinct sites, in fractional coordinates, are Tb at (0.000, 0.165, 0.000), Ti at (0.000, 0.500, 0.000), Tl at (0.000, 0.000, 0.500), Tl at (0.000, 0.327, 0.500), Se at (0.221, 0.344, 0.197) and Se at (0.244, 0.500, 0.795).

The value obtained for the final energy is -4.9354 eV/atom. The uncorrected formation energy is -1.172 eV per atom. As for the crystal system: monoclinic.


5.
La4SmHo2 | PBE-GGA | optimized geometry

It has space group Imma (No. 74), with a = 6.984 Å, b = 11.625 Å, c = 12.165 Å, α = 90.00°, β = 90.00° and γ = 90.00°. The distinct sites, in fractional coordinates, are La at (0.000, 0.001, 0.152), La at (0.218, 0.250, 0.007), Sm at (0.250, 0.250, 0.750), Ho at (0.000, 0.000, 0.500) and Ho at (0.000, 0.250, 0.284).

The value obtained for the final energy is -4.5738 eV/atom. As for the crystal system: orthorhombic. Its formation enthalpy at 0 K is 0.224 eV per atom.


6.
Tb2Zr3UN6 | PBE-GGA | optimized geometry

It has space group C2/m (No. 12), with a = 5.812 Å, b = 10.061 Å, c = 5.811 Å, α = 90.00°, β = 109.28° and γ = 90.00°. The distinct sites, in fractional coordinates, are Tb at (0.000, 0.167, 0.000), Zr at (0.000, 0.000, 0.500), Zr at (0.000, 0.329, 0.500), U at (0.000, 0.500, 0.000), N at (0.232, 0.500, 0.742) and N at (0.246, 0.340, 0.259).

The value obtained for the final energy is -9.6745 eV/atom. The uncorrected formation energy is -1.662 eV per atom. As for the crystal system: monoclinic.


7.
AlNi | PBE-GGA | optimized geometry

It has space group Pmmn (No. 59, origin choice 2), with a = 2.694 Å, b = 4.408 Å, c = 4.227 Å, α = 90.00°, β = 90.00° and γ = 90.00°. The distinct sites, in fractional coordinates, are Al at (0.250, 0.250, 0.117) and Ni at (0.250, 0.750, 0.391).

The value obtained for the final energy is -5.2021 eV/atom. As for the crystal system: orthorhombic. Its formation enthalpy at 0 K is -0.440 eV per atom.


8.
Ce2PaPN5 | PBE-GGA | optimized geometry

It has space group P4/mbm (No. 127), with a = 6.394 Å, b = 6.394 Å, c = 5.669 Å, α = 90.00°, β = 90.00° and γ = 90.00°. The distinct sites, in fractional coordinates, are Ce at (0.172, 0.328, 0.000), Pa at (0.000, 0.000, 0.500), P at (0.000, 0.500, 0.500), N at (0.000, 0.000, 0.000) and N at (0.142, 0.642, 0.285).

The value obtained for the final energy is -8.5422 eV/atom. The uncorrected formation energy is -0.942 eV per atom. As for the crystal system: tetragonal.


9.
BeB3Rh | PBE-GGA | optimized geometry

It has space group Pm-3m (No. 221), with a = 4.056 Å, b = 4.056 Å, c = 4.056 Å, α = 90.00°, β = 90.00° and γ = 90.00°. The distinct sites, in fractional coordinates, are Be at (0.000, 0.000, 0.000), B at (0.000, 0.500, 0.500) and Rh at (0.500, 0.500, 0.500).

The value obtained for the final energy is -4.7867 eV/atom. As for the crystal system: cubic. Its formation enthalpy at 0 K is 1.435 eV per atom.


10.
ZrBr3O | PBE-GGA | optimized geometry

It has space group Pm-3m (No. 221), with a = 4.723 Å, b = 4.723 Å, c = 4.723 Å, α = 90.00°, β = 90.00° and γ = 90.00°. The distinct sites, in fractional coordinates, are Zr at (0.000, 0.000, 0.000), Br at (0.000, 0.500, 0.500) and O at (0.500, 0.500, 0.500).

The value obtained for the final energy is -3.2733 eV/atom. The uncorrected formation energy is 0.432 eV per atom. As for the crystal system: cubic.


11.
Sc3RhI3 | PBE-GGA | optimized geometry

It has space group I4_132 (No. 214), with a = 11.639 Å, b = 11.639 Å, c = 11.639 Å, α = 90.00°, β = 90.00° and γ = 90.00°. The distinct sites, in fractional coordinates, are Sc at (0.099, 0.349, 0.125), Rh at (0.125, 0.125, 0.125) and I at (0.121, 0.129, 0.625).

The value obtained for the final energy is -5.3522 eV/atom. The uncorrected formation energy is -0.924 eV per atom. As for the crystal system: cubic.


12.
TlAgGeO3 | PBE-GGA | optimized geometry

It has space group C2/c (No. 15), with a = 6.414 Å, b = 11.624 Å, c = 5.319 Å, α = 90.00°, β = 97.41° and γ = 90.00°. The distinct sites, in fractional coordinates, are Tl at (0.000, 0.235, 0.250), Ag at (0.000, 0.057, 0.750), Ge at (0.000, 0.446, 0.750), O at (0.000, 0.296, 0.750) and O at (0.175, 0.463, 0.090).

The value obtained for the final energy is -5.1157 eV/atom. The uncorrected formation energy is -0.997 eV per atom. As for the crystal system: monoclinic.


13.
PaMnRh | PBE-GGA | optimized geometry

It has space group I4/mmm (No. 139), with a = 3.655 Å, b = 3.655 Å, c = 17.141 Å, α = 90.00°, β = 90.00° and γ = 90.00°. The distinct sites, in fractional coordinates, are Pa at (0.000, 0.000, 0.136), Mn at (0.000, 0.000, 0.263) and Rh at (0.000, 0.000, 0.424).

The value obtained for the final energy is -8.8001 eV/atom. As for the crystal system: tetragonal. Its formation enthalpy at 0 K is -0.128 eV per atom.


14.
ScAl2CrRh | PBE-GGA | optimized geometry

It has space group P4/mmm (No. 123), with a = 4.960 Å, b = 4.960 Å, c = 4.439 Å, α = 90.00°, β = 90.00° and γ = 90.00°. The distinct sites, in fractional coordinates, are Sc at (0.000, 0.000, 0.000), Al at (0.000, 0.500, 0.000), Cr at (0.500, 0.500, 0.500) and Rh at (0.000, 0.000, 0.500).

The value obtained for the final energy is -4.7045 eV/atom. As for the crystal system: tetragonal. Its formation enthalpy at 0 K is 1.454 eV per atom.


15.
CeNd2Tc | PBE-GGA | optimized geometry

It has space group Pnma (No. 62), with a = 7.226 Å, b = 10.043 Å, c = 6.437 Å, α = 90.00°, β = 90.00° and γ = 90.00°. The distinct sites, in fractional coordinates, are Ce at (0.057, 0.250, 0.154), Nd at (0.175, 0.066, 0.675) and Tc at (0.135, 0.750, 0.514).

The value obtained for the final energy is -6.5624 eV/atom. As for the crystal system: orthorhombic. Its formation enthalpy at 0 K is -0.103 eV per atom.


16.
DyThOs | PBE-GGA | optimized geometry

It has space group P2_1/c (No. 14), with a = 6.487 Å, b = 7.250 Å, c = 7.030 Å, α = 90.00°, β = 95.33° and γ = 90.00°. The distinct sites, in fractional coordinates, are Dy at (0.100, 0.115, 0.286), Th at (0.426, 0.743, 0.495) and Os at (0.302, 0.042, 0.714).

The value obtained for the final energy is -8.0232 eV/atom. As for the crystal system: monoclinic. Its formation enthalpy at 0 K is -0.273 eV per atom.


17.
KRb3Ge | PBE-GGA | optimized geometry

It has space group Pm-3m (No. 221), with a = 7.067 Å, b = 7.067 Å, c = 7.067 Å, α = 90.00°, β = 90.00° and γ = 90.00°. The distinct sites, in fractional coordinates, are K at (0.000, 0.000, 0.000), Rb at (0.000, 0.500, 0.500) and Ge at (0.500, 0.500, 0.500).

The value obtained for the final energy is -1.5604 eV/atom. As for the crystal system: cubic. Its formation enthalpy at 0 K is 0.163 eV per atom.


18.
Zn2SbF2 | PBE-GGA | optimized geometry

It has space group P4/mbm (No. 127), with a = 7.574 Å, b = 7.574 Å, c = 2.836 Å, α = 90.00°, β = 90.00° and γ = 90.00°. The distinct sites, in fractional coordinates, are Zn at (0.137, 0.363, 0.000), Sb at (0.000, 0.000, 0.500) and F at (0.111, 0.611, 0.500).

The value obtained for the final energy is -2.8822 eV/atom. The uncorrected formation energy is -0.800 eV per atom. As for the crystal system: tetragonal.


19.
ScTe2As | PBE-GGA | optimized geometry

It has space group R3m (No. 160, hexagonal axes), with a = 3.8554 Å, b = 3.8554 Å, c = 26.4174 Å, α = 90.00°, β = 90.00° and γ = 120.00°. The distinct sites, in fractional coordinates, are Sc at (0.0000, 0.0000, 0.0000), Te at (0.0000, 0.0000, 0.2681), Te at (0.0000, 0.0000, 0.4758) and As at (0.0000, 0.0000, 0.7393).

The value obtained for the final energy is -4.6263 eV/atom. The uncorrected formation energy is -0.310 eV per atom. As for the crystal system: trigonal.


20.
Li2TbMnS4 | PBE-GGA | optimized geometry

It has space group P2/m (No. 10), with a = 6.413 Å, b = 3.773 Å, c = 6.471 Å, α = 90.00°, β = 109.13° and γ = 90.00°. The distinct sites, in fractional coordinates, are Li at (0.000, 0.000, 0.000), Li at (0.500, 0.500, 0.000), Tb at (0.000, 0.500, 0.500), Mn at (0.500, 0.000, 0.500), S at (0.272, 0.500, 0.259) and S at (0.277, 0.000, 0.743).

The value obtained for the final energy is -5.5640 eV/atom. The uncorrected formation energy is -1.297 eV per atom. As for the crystal system: monoclinic.